## Zn6Tc (GGA-PBE)

Data for a geometry-optimized Zn6Tc structure.

a b c (Å): 6.807 6.807 6.807
angles (deg): 90.00 90.00 90.00
Sites, in units of the cell vectors:
Zn1 0.000 0.250 0.500
Zn2 0.000 0.500 0.250
Zn3 0.000 0.500 0.750
Zn4 0.000 0.750 0.500
Zn5 0.250 0.000 0.500
Zn6 0.250 0.500 0.000
Zn7 0.500 0.000 0.250
Zn8 0.500 0.000 0.750
Zn9 0.500 0.250 0.000
Zn10 0.500 0.750 0.000
Zn11 0.750 0.000 0.500
Zn12 0.750 0.500 0.000
Tc1 0.000 0.000 0.000
Tc2 0.500 0.500 0.500

Computed properties:
**Energy of formation**: 1.03 eV per atom
**Raw total energy**: -1.543 eV/atom